No. 1
DFT (PBE-GGA) results for a relaxed structure of PmNd6Dy.

Cell: 5.1735 5.1735 10.3459 Å, 90.00 90.00 90.00°
Fractional positions:
Pm 0.0000 0.0000 0.0000
Nd 0.0000 0.5000 0.2516
Nd 0.0000 0.5000 0.7484
Nd 0.5000 0.0000 0.2516
Nd 0.5000 0.0000 0.7484
Nd 0.5000 0.5000 0.0000
Nd 0.5000 0.5000 0.5000
Dy 0.0000 0.0000 0.5000

Properties
energy of formation: 0.0151 eV per atom
SG: P4/mmm, No. 123
calculated density: 7.0 g/cm3
total energy: -4.730 eV/atom


No. 2
DFT (PBE-GGA) results for a relaxed structure of Pm6NdDy6.

Cell: 6.8085 6.8085 11.2516 Å, 90.00 90.00 121.55°
Fractional positions:
Pm 0.0000 0.0000 0.1516
Pm 0.0000 0.0000 0.8484
Pm 0.2898 0.7102 0.5000
Pm 0.3631 0.6369 0.0000
Pm 0.6369 0.3631 0.0000
Pm 0.7102 0.2898 0.5000
Nd 0.0000 0.0000 0.5000
Dy 0.0000 0.5000 0.2375
Dy 0.0000 0.5000 0.7625
Dy 0.5000 0.0000 0.2375
Dy 0.5000 0.0000 0.7625
Dy 0.5000 0.5000 0.2926
Dy 0.5000 0.5000 0.7074

Properties
energy of formation: 0.2356 eV per atom
SG: Cmmm, No. 65
calculated density: 7.4 g/cm3
total energy: -4.448 eV/atom